No. 1
5
Lattice="4.5059 0.0000 0.0000 0.0000 4.5059 0.0000 0.0000 0.0000 4.6417" Properties=species:S:1:pos:R:3 comment="BaCuNO2 | the Alexandria database | PBE-GGA | optimized geometry" e_form_raw_ev_per_atom=1.1356 sg="No. 123" pbc="T T T"
Ba 0.0000 0.0000 0.0000
Cu 2.2529 2.2529 2.3209
N 0.0000 0.0000 2.3209
O 0.0000 2.2529 0.0000
O 2.2529 0.0000 0.0000

***

No. 2
5
Lattice="-2.1176 2.1176 6.7131 2.1176 -2.1176 6.7131 2.1176 2.1176 -6.7131" Properties=species:S:1:pos:R:3 comment="Cd2SbAs2 | the Alexandria database | PBE-GGA | optimized geometry" e_form_raw_ev_per_atom=0.2539 sg="No. 139" pbc="T T T"
Cd 2.1176 0.0000 3.3565
Cd 0.0000 2.1176 3.3565
Sb 0.0000 0.0000 0.0000
As 0.0000 0.0000 5.3265
As 0.0000 0.0000 8.0996

***

No. 3
4
Lattice="0.0000 4.1986 4.1986 4.1986 0.0000 4.1986 4.1986 4.1986 0.0000" Properties=species:S:1:pos:R:3 comment="KLa2Sc | the Alexandria database | PBE-GGA | optimized geometry" sg="No. 216" formation_energy_ev_per_atom=0.55 pbc="T T T"
K 0.0000 0.0000 0.0000
La 4.1986 4.1986 4.1986
La 6.2978 6.2978 6.2978
Sc 2.0993 2.0993 2.0993

***

No. 4
8
Lattice="-3.4266 3.4266 2.5473 3.4266 -3.4266 2.5473 3.4266 3.4266 -2.5473" Properties=species:S:1:pos:R:3 comment="CuRu2Rh | the Alexandria database | PBE-GGA | optimized geometry" sg="No. 122" formation_energy_ev_per_atom=0.80 pbc="T T T"
Cu 0.0000 0.0000 0.0000
Cu 0.0000 3.4266 1.2736
Ru 5.1399 1.7006 -0.6368
Ru 1.7006 1.7133 0.6368
Ru -1.7133 1.7260 1.9105
Ru 1.7260 1.7133 3.1841
Rh 3.4266 0.0000 1.2736
Rh 0.0000 0.0000 2.5473

***

| no. | DOS(E_F) (states/eV per cell) |
| --- | --- |
| 1 | 7.302 |
| 2 | 3.212 |
| 3 | 6.615 |
| 4 | 13.810 |